one:
The following is a DFT calculation (PBE) of a relaxed structure of Zn2AgW2.

Results
**Space group**: P4/mbm, No. 127
**Total magnetic moment**: 0.000 μB per atom

a = 7.9296 Å, b = 7.9296 Å, c = 2.7042 Å
α = 90.00°, β = 90.00°, γ = 90.00°
Positions (direct):
Zn 0.1817 0.6817 0.5000
Zn 0.8183 0.3183 0.5000
Zn 0.6817 0.8183 0.5000
Zn 0.3183 0.1817 0.5000
W 0.8872 0.6128 0.0000
W 0.3872 0.8872 0.0000
W 0.1128 0.3872 0.0000
W 0.6128 0.1128 0.0000
Ag 0.0000 0.0000 0.0000
Ag 0.5000 0.5000 0.0000

***

two:
The following is a DFT calculation (PBE) of a relaxed structure of Zn2AgW2.

Results
**Space group**: I4/mmm, No. 139
**Total magnetic moment**: 0.000 μB per atom

a = 3.6239 Å, b = 3.6239 Å, c = 7.0110 Å
α = 75.02°, β = 75.02°, γ = 90.00°
Positions (direct):
Zn 0.2500 0.7500 0.5000
Zn 0.7500 0.2500 0.5000
Ag 0.0000 0.0000 0.0000
W 0.5918 0.5918 0.8164
W 0.4082 0.4082 0.1836

***

Order of stability, best first: one, two